# 1
DFT (PBE) results for a geometry-optimized KAgRhPb2 structure.

- D(E_F) (states/eV per cell) = 3.4
- E_form (eV/atom) = 0.0509
- VASP energy (eV/atom) = -3.6925

abc: 5.2379 5.2379 5.4923
angles: 90.00 90.00 90.00
Element x y z (fractional)
K 0.0000 0.0000 0.0000
Ag 0.5000 0.5000 0.0000
Rh 0.5000 0.5000 0.5000
Pb 0.0000 0.5000 0.5000
Pb 0.5000 0.0000 0.5000



# 2
DFT (PBE) results for a geometry-optimized Ga3SbP structure.

- energy relative to the lowest polymorph listed for this composition (meV/atom) = 0
- D(E_F) (states/eV per cell) = 1.6
- formation energy from raw total energies (eV/atom) = 0.180
- VASP energy (eV/atom) = -3.5429

abc: 4.8275 4.8275 4.8275
angles: 90.00 90.00 90.00
Element x y z (fractional)
Ga 0.0000 0.0000 0.5000
Ga 0.0000 0.5000 0.0000
Ga 0.5000 0.0000 0.0000
Sb 0.5000 0.5000 0.5000
P 0.0000 0.0000 0.0000



# 3
DFT (PBE) results for a geometry-optimized ErFe6Ge12 structure.

- D(E_F) (states/eV per cell) = 16.7
- E_form (eV/atom) = 0.1598
- VASP energy (eV/atom) = -5.6690

abc: 7.3833 7.3833 7.3833
angles: 109.47 109.47 109.47
Element x y z (fractional)
Er 0.0000 0.0000 0.0000
Fe 0.1441 0.6441 0.5000
Fe 0.3559 0.5000 0.8559
Fe 0.5000 0.1441 0.6441
Fe 0.5000 0.8559 0.3559
Fe 0.6441 0.5000 0.1441
Fe 0.8559 0.3559 0.5000
Ge 0.1140 0.8231 0.2909
Ge 0.1769 0.2909 0.4677
Ge 0.1769 0.7091 0.8860
Ge 0.2909 0.1140 0.8231
Ge 0.2909 0.4677 0.1769
Ge 0.4677 0.1769 0.2909
Ge 0.5323 0.8231 0.7091
Ge 0.7091 0.5323 0.8231
Ge 0.7091 0.8860 0.1769
Ge 0.8231 0.2909 0.1140
Ge 0.8231 0.7091 0.5323
Ge 0.8860 0.1769 0.7091



# 4
DFT (PBE) results for a geometry-optimized Pa2NiS5 structure.

- energy relative to the lowest polymorph listed for this composition (meV/atom) = 0
- D(E_F) (states/eV per cell) = 10.9
- formation energy from raw total energies (eV/atom) = -1.203
- VASP energy (eV/atom) = -6.8793

abc: 3.9355 10.4170 8.3340
angles: 90.00 103.05 90.00
Element x y z (fractional)
Pa 0.0034 0.1884 0.0130
Pa 0.0034 0.3116 0.5130
Pa 0.9966 0.6884 0.4870
Pa 0.9966 0.8116 0.9870
Ni 0.5000 0.0000 0.5000
Ni 0.5000 0.5000 0.0000
S 0.1091 0.1123 0.3270
S 0.1091 0.3877 0.8270
S 0.3976 0.6704 0.8349
S 0.3976 0.8296 0.3349
S 0.5000 0.0000 0.0000
S 0.5000 0.5000 0.5000
S 0.6024 0.1704 0.6651
S 0.6024 0.3296 0.1651
S 0.8909 0.6123 0.1730
S 0.8909 0.8877 0.6730



# 5
DFT (PBE) results for a geometry-optimized ZrCu2Re structure.

- energy relative to the lowest polymorph listed for this composition (meV/atom) = 480
- D(E_F) (states/eV per cell) = 12.0
- E_form (eV/atom) = 0.5621
- VASP energy (eV/atom) = -6.7351

abc: 9.8242 9.8242 9.8242
angles: 157.80 157.80 31.60
Element x y z (fractional)
Zr 0.0000 0.0000 0.0000
Zr 0.7500 0.2500 0.5000
Cu 0.1641 0.6250 0.0391
Cu 0.3750 0.4141 0.5391
Cu 0.5859 0.1250 0.9609
Cu 0.8750 0.8359 0.4609
Re 0.2500 0.7500 0.5000
Re 0.5000 0.5000 0.0000



Which value of D(E_F) does entry 2 give? 1.6 states/eV per cell